VASP calculation (PBE) on an optimized crystal structure of Ba2PaCu2Se6.

Output
M_tot: 0.000 μB per formula unit
energy: -4.9730 eV per atom
crystal system: trigonal
symmetry: R-3m

Unit cell a=7.688 b=7.688 c=7.862 alpha=60.73 beta=60.73 gamma=60.00
Fractional coordinates of all 11 atoms:
Ba  0.772  0.772  0.685
Ba  0.228  0.228  0.315
Pa  0.000  0.000  0.000
Cu  0.428  0.428  0.716
Cu  0.572  0.572  0.284
Se  0.751  0.751  0.267
Se  0.231  0.751  0.267
Se  0.751  0.231  0.267
Se  0.249  0.769  0.733
Se  0.769  0.249  0.733
Se  0.249  0.249  0.733


VASP calculation (PBE) on an optimized crystal structure of Ba2PaCuSe5.

Output
M_tot: 0.074 μB per formula unit
energy: -5.3741 eV per atom
crystal system: orthorhombic
symmetry: Cmc2_1

Unit cell a=4.303 b=9.615 c=13.295 alpha=90.00 beta=90.00 gamma=102.93
Fractional coordinates of all 18 atoms:
Ba  0.886  0.771  0.829
Ba  0.113  0.227  0.694
Ba  0.114  0.229  0.329
Ba  0.887  0.773  0.194
Pa  0.803  0.606  0.518
Pa  0.197  0.394  0.018
Cu  0.573  0.146  0.932
Cu  0.427  0.854  0.432
Se  0.344  0.689  0.012
Se  0.700  0.399  0.875
Se  0.504  0.007  0.777
Se  0.297  0.595  0.659
Se  0.946  0.893  0.527
Se  0.656  0.311  0.512
Se  0.300  0.601  0.375
Se  0.496  0.993  0.277
Se  0.703  0.405  0.159
Se  0.054  0.107  0.027


VASP calculation (PBE) on an optimized crystal structure of BaPa2Cu2Se6.

Output
M_tot: 2.043 μB per formula unit
energy: -5.6418 eV per atom
crystal system: triclinic
symmetry: P-1

Unit cell a=7.563 b=8.396 c=7.233 alpha=122.23 beta=82.77 gamma=70.11
Fractional coordinates of all 11 atoms:
Ba  0.500  0.000  0.500
Pa  0.826  0.355  0.823
Pa  0.174  0.645  0.177
Cu  0.154  0.803  0.890
Cu  0.846  0.197  0.110
Se  0.462  0.726  0.986
Se  0.881  0.525  0.263
Se  0.124  0.934  0.668
Se  0.119  0.475  0.737
Se  0.876  0.066  0.332
Se  0.538  0.274  0.014


VASP calculation (PBE) on an optimized crystal structure of Ba3PaCu2Se6.

Output
M_tot: 0.861 μB per formula unit
energy: -4.9183 eV per atom
crystal system: trigonal
symmetry: P-3m1

Unit cell a=7.746 b=7.746 c=8.276 alpha=90.00 beta=90.00 gamma=120.00
Fractional coordinates of all 12 atoms:
Ba  0.333  0.667  0.614
Ba  0.667  0.333  0.386
Ba  0.000  0.000  0.000
Pa  0.000  0.000  0.500
Cu  0.667  0.333  0.777
Cu  0.333  0.667  0.223
Se  0.669  0.834  0.293
Se  0.166  0.331  0.293
Se  0.166  0.834  0.293
Se  0.834  0.669  0.707
Se  0.331  0.166  0.707
Se  0.834  0.166  0.707


VASP calculation (PBE) on an optimized crystal structure of BaCu2Pb.

Output
M_tot: 0.000 μB per formula unit
energy: -3.3340 eV per atom
crystal system: tetragonal
symmetry: P4mm

Unit cell a=3.484 b=3.484 c=7.950 alpha=90.00 beta=90.00 gamma=90.00
Fractional coordinates of all 4 atoms:
Ba  0.500  0.500  0.789
Cu  0.000  0.000  0.083
Cu  0.500  0.500  0.203
Pb  0.000  0.000  0.426


VASP calculation (PBE) on an optimized crystal structure of BaCu2Pb.

Output
M_tot: 0.000 μB per formula unit
energy: -3.4788 eV per atom
crystal system: monoclinic
symmetry: Pm

Unit cell a=4.426 b=4.949 c=5.315 alpha=73.90 beta=90.00 gamma=90.00
Fractional coordinates of all 4 atoms:
Ba  0.500  0.808  0.762
Cu  0.000  0.015  0.169
Cu  0.500  0.221  0.199
Pb  0.000  0.456  0.371